CrCuHgF6 | the Alexandria database | PBE+U | optimized geometry; crystal system = trigonal; N(E_F) = 4.528 states/eV/f.u.; symmetry = No. 163; E_tot = -79.7 eV per cell; calculated volume = 13.58 A^3/atom
1.0
5.655 0.000 0.000
-2.828 4.898 0.000
0.000 0.000 8.826
F Hg Cu Cr
12 2 2 2
Cartesian
3.544 3.106 3.310
-0.918 4.622 5.517
3.745 0.275 3.310
2.111 3.106 1.104
-0.716 1.792 5.517
1.194 1.516 3.310
4.462 1.516 1.104
0.918 4.622 7.723
0.716 1.792 7.723
1.910 0.275 1.104
1.634 3.381 5.517
-1.634 3.381 7.723
0.000 3.265 2.207
2.828 1.633 6.620
0.000 0.000 0.000
0.000 0.000 4.413
2.828 1.633 2.207
0.000 3.265 6.620